1.
# GaMoSe2Br, relaxed, DFT PBE
# Calculated volume, Å³ per atom: 25.14
# Space group: P4/mmm, No. 123
# Energy above the lowest structure with this stoichiometry, meV/atom: 688
# Magnetization, μB per atom: 0.755
# Formation energy (no corrections), eV/atom: 0.6693
# DFT total energy, eV per cell: -19.15
# DOS(E_F), states/eV per cell: 3.25
data_GaMoSe2Br
_chemical_formula_sum 'Ga1 Mo1 Se2 Br1'
_cell_length_a 5.034
_cell_length_b 5.034
_cell_length_c 4.960
_cell_angle_alpha 90.00
_cell_angle_beta 90.00
_cell_angle_gamma 90.00
_space_group_name_H-M_alt 'P 1'
_space_group_IT_number 1
_space_group_name_Hall 'P 1'
loop_
_atom_site_label
_atom_site_fract_x
_atom_site_fract_y
_atom_site_fract_z
Ga1 0.000 0.000 0.000
Se1 0.000 0.500 0.000
Se2 0.500 0.000 0.000
Mo1 0.500 0.500 0.500
Br1 0.000 0.000 0.500



2.
# AcBeCuPt2, relaxed, DFT PBE
# Formation enthalpy at 0 K, eV/atom: -0.55
# Calculated volume, Å³ per atom: 20.02
# Space group: Cmme, No. 67
# Magnetization, μB per atom: 0.000
# DFT total energy, eV per cell: -53.51
# DOS(E_F), states/eV per cell: 4.70
data_AcBeCuPt2
_chemical_formula_sum 'Ac2 Be2 Cu2 Pt4'
_cell_length_a 7.551
_cell_length_b 5.464
_cell_length_c 5.568
_cell_angle_alpha 119.39
_cell_angle_beta 90.00
_cell_angle_gamma 90.00
_space_group_name_H-M_alt 'P 1'
_space_group_IT_number 1
_space_group_name_Hall 'P 1'
loop_
_atom_site_label
_atom_site_fract_x
_atom_site_fract_y
_atom_site_fract_z
Pt1 0.302 0.103 0.206
Pt2 0.698 0.897 0.794
Pt3 0.698 0.603 0.206
Pt4 0.302 0.397 0.794
Cu1 0.000 0.500 0.000
Cu2 0.000 0.000 0.000
Be1 0.500 0.750 0.000
Be2 0.500 0.250 0.000
Ac1 0.729 0.250 0.500
Ac2 0.271 0.750 0.500



3.
# AcBiAs, relaxed, DFT PBE
# Formation enthalpy at 0 K, eV/atom: -0.61
# Calculated volume, Å³ per atom: 31.53
# Space group: P-6m2, No. 187
# Energy above the lowest structure with this stoichiometry, meV/atom: 108
# Magnetization, μB per atom: 0.000
# DFT total energy, eV per cell: -14.46
# DOS(E_F), states/eV per cell: 1.64
data_AcBiAs
_chemical_formula_sum 'Ac1 Bi1 As1'
_cell_length_a 5.075
_cell_length_b 5.075
_cell_length_c 4.241
_cell_angle_alpha 90.00
_cell_angle_beta 90.00
_cell_angle_gamma 120.00
_space_group_name_H-M_alt 'P 1'
_space_group_IT_number 1
_space_group_name_Hall 'P 1'
loop_
_atom_site_label
_atom_site_fract_x
_atom_site_fract_y
_atom_site_fract_z
As1 0.667 0.333 0.500
Ac1 0.000 0.000 0.000
Bi1 0.333 0.667 0.500